No. 1
# Y3AlNi

A relaxed structure of Y3AlNi (PBE, Alexandria).

Results
E_form = -0.07 eV/atom
magnetization = 0.00 μB per cell
DOS at the Fermi energy = 1.471 states/eV per atom

CIF file:
```
data_Y3AlNi
_chemical_formula_sum 'Y3 Al1 Ni1'
_cell_length_a 5.1712
_cell_length_b 5.1712
_cell_length_c 5.1712
_cell_angle_alpha 90.00
_cell_angle_beta 90.00
_cell_angle_gamma 90.00
_space_group_name_H-M_alt 'P m -3 m'
_space_group_IT_number 221
_space_group_name_Hall '-P 4 2 3'
loop_
_atom_site_label
_atom_site_type_symbol
_atom_site_fract_x
_atom_site_fract_y
_atom_site_fract_z
Y1 Y 0.0000 0.0000 0.5000
Al1 Al 0.5000 0.5000 0.5000
Ni1 Ni 0.0000 0.0000 0.0000
```

---

No. 2
# Nd4CuSeS2

A relaxed structure of Nd4CuSeS2 (PBE, Alexandria).

Results
energy relative to the elements, uncorrected = -1.49 eV per atom
magnetization = 0.00 μB per cell
DOS at the Fermi energy = 0.802 states/eV per atom

CIF file:
```
data_Nd4CuSeS2
_chemical_formula_sum 'Nd8 Cu2 Se2 S4'
_cell_length_a 5.8658
_cell_length_b 5.8658
_cell_length_c 11.6822
_cell_angle_alpha 90.00
_cell_angle_beta 90.00
_cell_angle_gamma 90.00
_space_group_name_H-M_alt 'I -4 m 2'
_space_group_IT_number 119
_space_group_name_Hall 'I -4 -2'
loop_
_atom_site_label
_atom_site_type_symbol
_atom_site_fract_x
_atom_site_fract_y
_atom_site_fract_z
Nd1 Nd 0.0000 0.0000 0.2435
Nd2 Nd 0.0000 0.5000 0.0047
Cu1 Cu 0.0000 0.0000 0.5000
Se1 Se 0.0000 0.5000 0.7500
S1 S 0.0000 0.0000 0.0000
S2 S 0.0000 0.5000 0.2500
```

---

No. 3
# Y2Si3Ni4Ge

A relaxed structure of Y2Si3Ni4Ge (PBE, Alexandria).

Results
energy relative to the elements, uncorrected = -0.80 eV per atom
magnetization = 0.00 μB per cell
DOS at the Fermi energy = 0.563 states/eV per atom

CIF file:
```
data_Y2Si3Ni4Ge
_chemical_formula_sum 'Y2 Si3 Ni4 Ge1'
_cell_length_a 4.0023
_cell_length_b 4.0023
_cell_length_c 9.5255
_cell_angle_alpha 90.00
_cell_angle_beta 90.00
_cell_angle_gamma 90.00
_space_group_name_H-M_alt 'P -4 m 2'
_space_group_IT_number 115
_space_group_name_Hall 'P -4 -2'
loop_
_atom_site_label
_atom_site_type_symbol
_atom_site_fract_x
_atom_site_fract_y
_atom_site_fract_z
Y1 Y 0.0000 0.5000 0.2468
Si1 Si 0.0000 0.5000 0.8737
Si2 Si 0.5000 0.5000 0.5000
Ni1 Ni 0.0000 0.0000 0.0000
Ni2 Ni 0.0000 0.5000 0.6309
Ni3 Ni 0.5000 0.5000 0.0000
Ge1 Ge 0.0000 0.0000 0.5000
```

---

No. 4
# VFe4Ir

A relaxed structure of VFe4Ir (PBE, Alexandria).

Results
E_form = -0.10 eV/atom
magnetization = 23.90 μB per cell
DOS at the Fermi energy = 1.051 states/eV per atom

CIF file:
```
data_VFe4Ir
_chemical_formula_sum 'V4 Fe16 Ir4'
_cell_length_a 6.6071
_cell_length_b 6.6071
_cell_length_c 6.6071
_cell_angle_alpha 90.00
_cell_angle_beta 90.00
_cell_angle_gamma 90.00
_space_group_name_H-M_alt 'F -4 3 m'
_space_group_IT_number 216
_space_group_name_Hall 'F -4 2 3'
loop_
_atom_site_label
_atom_site_type_symbol
_atom_site_fract_x
_atom_site_fract_y
_atom_site_fract_z
V1 V 0.0000 0.0000 0.0000
Fe1 Fe 0.1250 0.1250 0.3750
Ir1 Ir 0.2500 0.2500 0.7500
```